Density functional theory data (PBE) for crystalline Zn2CuSb at its relaxed geometry.

Magnetization: 0.00 μB/f.u.
Uncorrected formation energy: 0.08 eV per atom
Theoretical density: 7.31 g cm⁻³
Energy: -2.6118 eV per atom

a = 4.4467 Å, b = 4.4467 Å, c = 5.5586 Å
α = 101.17°, β = 101.17°, γ = 41.92°
Positions (direct):
Zn (0.0000, 0.0000, 0.0000)
Zn (0.7473, 0.7473, 0.2058)
Cu (0.4855, 0.4855, 0.3819)
Sb (0.2323, 0.2323, 0.6699)


Density functional theory data (PBE) for crystalline PmHoAlCd at its relaxed geometry.

Magnetization: 0.00 μB/f.u.
Theoretical density: 7.26 g cm⁻³
Excess energy over the best structure of this formula in the dataset: 0.0147 eV per atom
Energy: -3.8403 eV per atom
Energy of formation from the pure elements: -1.38 eV per formula unit

a = 5.2586 Å, b = 5.2586 Å, c = 5.2586 Å
α = 60.00°, β = 60.00°, γ = 60.00°
Positions (direct):
Pm (0.0000, 0.0000, 0.0000)
Ho (0.5000, 0.5000, 0.5000)
Al (0.2500, 0.2500, 0.2500)
Cd (0.7500, 0.7500, 0.7500)


Density functional theory data (PBE) for crystalline DyAl4Ru at its relaxed geometry.

Magnetization: 0.00 μB/f.u.
Theoretical density: 5.11 g cm⁻³
Energy: -5.0796 eV per atom
Energy of formation from the pure elements: -1.63 eV per formula unit

a = 7.2242 Å, b = 7.2242 Å, c = 7.2242 Å
α = 125.40°, β = 125.40°, γ = 80.87°
Positions (direct):
Dy (0.0000, 0.0000, 0.0000)
Dy (0.5000, 0.5000, 0.0000)
Al (0.0175, 0.5175, 0.2018)
Al (0.1843, 0.9825, 0.5000)
Al (0.3157, 0.8157, 0.7982)
Al (0.4825, 0.6843, 0.5000)
Al (0.5175, 0.3157, 0.5000)
Al (0.6843, 0.1843, 0.2018)
Al (0.8157, 0.0175, 0.5000)
Al (0.9825, 0.4825, 0.7982)
Ru (0.2500, 0.2500, 0.0000)
Ru (0.7500, 0.7500, 0.0000)